(1)
Below is a relaxed structure of Cd2TeCl, with properties calculated at the GGA-PBEsol level.

CIF file:
```
data_Cd2TeCl
_chemical_formula_sum 'Cd2 Te1 Cl1'
_space_group_name_H-M_alt 'P 1'
_space_group_IT_number 1
_space_group_name_Hall 'P 1'
_cell_length_a 5.0749
_cell_length_b 5.0749
_cell_length_c 5.0749
_cell_angle_alpha 60.00
_cell_angle_beta 60.00
_cell_angle_gamma 60.00
loop_
_atom_site_label
_atom_site_type_symbol
_atom_site_fract_x
_atom_site_fract_y
_atom_site_fract_z
Cd1 Cd 0.7500 0.7500 0.7500
Cd2 Cd 0.0000 0.0000 0.0000
Cl1 Cl 0.5000 0.5000 0.5000
Te1 Te 0.2500 0.2500 0.2500
```

Properties
Space-group type = F-43m (216)
Raw formation energy = -0.20 eV per formula unit
Fermi-level density of states = 0.5757 states/eV per atom
Energy above the most stable polymorph in this dataset = 177.8 meV/atom


(2)
Below is a relaxed structure of LiTlAsSe2, with properties calculated at the GGA-PBEsol level.

CIF file:
```
data_LiTlAsSe2
_chemical_formula_sum 'Li1 Tl1 As1 Se2'
_space_group_name_H-M_alt 'P 1'
_space_group_IT_number 1
_space_group_name_Hall 'P 1'
_cell_length_a 4.5971
_cell_length_b 4.8505
_cell_length_c 4.8505
_cell_angle_alpha 90.00
_cell_angle_beta 90.00
_cell_angle_gamma 90.00
loop_
_atom_site_label
_atom_site_type_symbol
_atom_site_fract_x
_atom_site_fract_y
_atom_site_fract_z
As1 As 0.5000 0.0000 0.0000
Tl1 Tl 0.5000 0.5000 0.5000
Se1 Se 0.0000 0.0000 0.5000
Se2 Se 0.0000 0.5000 0.0000
Li1 Li 0.0000 0.0000 0.0000
```

Properties
Space-group type = P4/mmm (123)
Raw formation energy = 0.86 eV per formula unit
Fermi-level density of states = 0.8313 states/eV per atom


(3)
Below is a relaxed structure of CaAsSe2I, with properties calculated at the GGA-PBEsol level.

CIF file:
```
data_CaAsSe2I
_chemical_formula_sum 'Ca1 As1 Se2 I1'
_space_group_name_H-M_alt 'P 1'
_space_group_IT_number 1
_space_group_name_Hall 'P 1'
_cell_length_a 5.3648
_cell_length_b 5.3648
_cell_length_c 5.2530
_cell_angle_alpha 90.00
_cell_angle_beta 90.00
_cell_angle_gamma 90.00
loop_
_atom_site_label
_atom_site_type_symbol
_atom_site_fract_x
_atom_site_fract_y
_atom_site_fract_z
Se1 Se 0.0000 0.5000 0.0000
Se2 Se 0.5000 0.0000 0.0000
As1 As 0.0000 0.0000 0.5000
Ca1 Ca 0.5000 0.5000 0.5000
I1 I 0.0000 0.0000 0.0000
```

Properties
Space-group type = P4/mmm (123)
Raw formation energy = 0.76 eV per formula unit
Fermi-level density of states = 0.6604 states/eV per atom


(4)
Below is a relaxed structure of TcMoPd2O, with properties calculated at the GGA-PBEsol level.

CIF file:
```
data_TcMoPd2O
_chemical_formula_sum 'Tc1 Mo1 Pd2 O1'
_space_group_name_H-M_alt 'P 1'
_space_group_IT_number 1
_space_group_name_Hall 'P 1'
_cell_length_a 3.8660
_cell_length_b 4.2004
_cell_length_c 4.2004
_cell_angle_alpha 90.00
_cell_angle_beta 90.00
_cell_angle_gamma 90.00
loop_
_atom_site_label
_atom_site_type_symbol
_atom_site_fract_x
_atom_site_fract_y
_atom_site_fract_z
Pd1 Pd 0.0000 0.5000 0.0000
Pd2 Pd 0.0000 0.0000 0.5000
Mo1 Mo 0.5000 0.5000 0.5000
O1 O 0.0000 0.0000 0.0000
Tc1 Tc 0.5000 0.0000 0.0000
```

Properties
Space-group type = P4/mmm (123)
Raw formation energy = 1.79 eV per formula unit
Fermi-level density of states = 1.1285 states/eV per atom


(5)
Below is a relaxed structure of ScMoAu, with properties calculated at the GGA-PBEsol level.

CIF file:
```
data_ScMoAu
_chemical_formula_sum 'Sc1 Mo1 Au1'
_space_group_name_H-M_alt 'P 1'
_space_group_IT_number 1
_space_group_name_Hall 'P 1'
_cell_length_a 4.4272
_cell_length_b 4.4272
_cell_length_c 4.4272
_cell_angle_alpha 60.00
_cell_angle_beta 60.00
_cell_angle_gamma 60.00
loop_
_atom_site_label
_atom_site_type_symbol
_atom_site_fract_x
_atom_site_fract_y
_atom_site_fract_z
Au1 Au 0.7500 0.7500 0.7500
Sc1 Sc 0.5000 0.5000 0.5000
Mo1 Mo 0.0000 0.0000 0.0000
```

Properties
ΔH_f (0 K) = 1.47 eV per formula unit
Space-group type = F-43m (216)
Fermi-level density of states = 1.9058 states/eV per atom
Energy above the most stable polymorph in this dataset = 339.6 meV/atom


(6)
Below is a relaxed structure of LiSbTe2, with properties calculated at the GGA-PBEsol level.

CIF file:
```
data_LiSbTe2
_chemical_formula_sum 'Li1 Sb1 Te2'
_space_group_name_H-M_alt 'P 1'
_space_group_IT_number 1
_space_group_name_Hall 'P 1'
_cell_length_a 4.2886
_cell_length_b 4.2886
_cell_length_c 5.9432
_cell_angle_alpha 90.00
_cell_angle_beta 90.00
_cell_angle_gamma 90.00
loop_
_atom_site_label
_atom_site_type_symbol
_atom_site_fract_x
_atom_site_fract_y
_atom_site_fract_z
Sb1 Sb 0.0000 0.0000 0.5000
Te1 Te 0.0000 0.0000 0.0000
Te2 Te 0.5000 0.5000 0.5000
Li1 Li 0.5000 0.5000 0.0000
```

Properties
Space-group type = P4/mmm (123)
Raw formation energy = -1.57 eV per formula unit
Fermi-level density of states = 0.3602 states/eV per atom


(7)
Below is a relaxed structure of Y3BeBr, with properties calculated at the GGA-PBEsol level.

CIF file:
```
data_Y3BeBr
_chemical_formula_sum 'Y3 Be1 Br1'
_space_group_name_H-M_alt 'P 1'
_space_group_IT_number 1
_space_group_name_Hall 'P 1'
_cell_length_a 5.1940
_cell_length_b 5.1940
_cell_length_c 5.1940
_cell_angle_alpha 90.00
_cell_angle_beta 90.00
_cell_angle_gamma 90.00
loop_
_atom_site_label
_atom_site_type_symbol
_atom_site_fract_x
_atom_site_fract_y
_atom_site_fract_z
Be1 Be 0.0000 0.0000 0.0000
Y1 Y 0.5000 0.0000 0.0000
Y2 Y 0.0000 0.5000 0.0000
Y3 Y 0.0000 0.0000 0.5000
Br1 Br 0.5000 0.5000 0.5000
```

Properties
Space-group type = Pm-3m (221)
Raw formation energy = 0.32 eV per formula unit
Fermi-level density of states = 1.0712 states/eV per atom


(8)
Below is a relaxed structure of Sc2B2Os, with properties calculated at the GGA-PBEsol level.

CIF file:
```
data_Sc2B2Os
_chemical_formula_sum 'Sc4 B4 Os2'
_space_group_name_H-M_alt 'P 1'
_space_group_IT_number 1
_space_group_name_Hall 'P 1'
_cell_length_a 3.4011
_cell_length_b 6.0562
_cell_length_c 6.0562
_cell_angle_alpha 90.00
_cell_angle_beta 90.00
_cell_angle_gamma 90.00
loop_
_atom_site_label
_atom_site_type_symbol
_atom_site_fract_x
_atom_site_fract_y
_atom_site_fract_z
B1 B 0.0000 0.6022 0.1022
B2 B 0.0000 0.8978 0.6022
B3 B 0.0000 0.1022 0.3978
B4 B 0.0000 0.3978 0.8978
Sc1 Sc 0.5000 0.1876 0.6876
Sc2 Sc 0.5000 0.8124 0.3124
Sc3 Sc 0.5000 0.6876 0.8124
Sc4 Sc 0.5000 0.3124 0.1876
Os1 Os 0.0000 0.0000 0.0000
Os2 Os 0.0000 0.5000 0.5000
```

Properties
ΔH_f (0 K) = -3.02 eV per formula unit
Space-group type = P4/mbm (127)
Fermi-level density of states = 0.4827 states/eV per atom


(9)
Below is a relaxed structure of KCo2Ru, with properties calculated at the GGA-PBEsol level.

CIF file:
```
data_KCo2Ru
_chemical_formula_sum 'K1 Co2 Ru1'
_space_group_name_H-M_alt 'P 1'
_space_group_IT_number 1
_space_group_name_Hall 'P 1'
_cell_length_a 2.6559
_cell_length_b 2.6559
_cell_length_c 9.6287
_cell_angle_alpha 82.07
_cell_angle_beta 82.07
_cell_angle_gamma 60.00
loop_
_atom_site_label
_atom_site_type_symbol
_atom_site_fract_x
_atom_site_fract_y
_atom_site_fract_z
Co1 Co 0.7338 0.7338 0.7987
Co2 Co 0.0025 0.0025 0.9926
Ru1 Ru 0.2655 0.2655 0.2035
K1 K 0.4983 0.4983 0.5052
```

Properties
ΔH_f (0 K) = 3.36 eV per formula unit
Space-group type = R3m (160)
Fermi-level density of states = 1.0621 states/eV per atom
Energy above the most stable polymorph in this dataset = 68.8 meV/atom


(10)
Below is a relaxed structure of ScFeCl4, with properties calculated at the GGA-PBEsol level.

CIF file:
```
data_ScFeCl4
_chemical_formula_sum 'Sc1 Fe1 Cl4'
_space_group_name_H-M_alt 'P 1'
_space_group_IT_number 1
_space_group_name_Hall 'P 1'
_cell_length_a 5.6096
_cell_length_b 5.6096
_cell_length_c 5.6096
_cell_angle_alpha 60.00
_cell_angle_beta 60.00
_cell_angle_gamma 60.00
loop_
_atom_site_label
_atom_site_type_symbol
_atom_site_fract_x
_atom_site_fract_y
_atom_site_fract_z
Cl1 Cl 0.3752 0.3752 0.3752
Cl2 Cl 0.3752 0.3752 0.8743
Cl3 Cl 0.3752 0.8743 0.3752
Cl4 Cl 0.8743 0.3752 0.3752
Sc1 Sc 0.0000 0.0000 0.0000
Fe1 Fe 0.7500 0.7500 0.7500
```

Properties
Space-group type = F-43m (216)
Raw formation energy = 2.92 eV per formula unit
Fermi-level density of states = 1.8002 states/eV per atom